(1)
{
  "formula": "Sr2ZnHg2",
  "functional": "PBE",
  "state": "optimized geometry",
  "lattice": [[8.3864, 0.0000, 0.0000], [0.0000, 8.3864, 0.0000], [0.0000, 0.0000, 4.4544]],
  "species": ["Sr", "Sr", "Sr", "Sr", "Zn", "Zn", "Hg", "Hg", "Hg", "Hg"],
  "fractional_positions": [[0.1717, 0.3283, 0.0000], [0.3283, 0.8283, 0.0000], [0.6717, 0.1717, 0.0000], [0.8283, 0.6717, 0.0000], [0.0000, 0.0000, 0.5000], [0.5000, 0.5000, 0.5000], [0.1316, 0.6316, 0.5000], [0.3684, 0.1316, 0.5000], [0.6316, 0.8684, 0.5000], [0.8684, 0.3684, 0.5000]],
  "dft_energy_ev_per_atom": -1.37,
  "m_tot_mub_per_cell": 0.000,
  "e_above_lowest_polymorph_mev_per_atom": 96,
  "delta_e_f_ev_per_atom": -0.32
}

(2)
{
  "formula": "CuIBr2",
  "functional": "PBE",
  "state": "optimized geometry",
  "lattice": [[3.3055, 0.0000, 0.0000], [0.0000, 10.7290, 0.0000], [-0.0017, 0.0000, 7.5152]],
  "species": ["Cu", "Cu", "I", "I", "Br", "Br", "Br", "Br"],
  "fractional_positions": [[0.2458, 0.2500, 0.2300], [0.7542, 0.7500, 0.7700], [0.2492, 0.2500, 0.7650], [0.7508, 0.7500, 0.2350], [0.2543, 0.5901, 0.7573], [0.2543, 0.9099, 0.7573], [0.7457, 0.0901, 0.2427], [0.7457, 0.4099, 0.2427]],
  "dft_energy_ev_per_atom": -2.40,
  "m_tot_mub_per_cell": 0.000,
  "e_above_lowest_polymorph_mev_per_atom": 0
}

(3)
{
  "formula": "ReTcPt2",
  "functional": "PBE",
  "state": "optimized geometry",
  "lattice": [[1.3811, 0.7974, 9.1782], [-1.3811, 0.7974, 9.1782], [0.0000, -1.5947, 9.1782]],
  "species": ["Re", "Tc", "Pt", "Pt"],
  "fractional_positions": [[0.0000, 0.0000, 0.0000], [0.2560, 0.2560, 0.2560], [0.5052, 0.5052, 0.5052], [0.7506, 0.7506, 0.7506]],
  "dft_energy_ev_per_atom": -8.83,
  "m_tot_mub_per_cell": 0.000,
  "e_above_lowest_polymorph_mev_per_atom": 30,
  "delta_e_f_ev_per_atom": -0.11
}

(4)
{
  "formula": "CuNiI3",
  "functional": "PBE",
  "state": "optimized geometry",
  "lattice": [[5.3040, 0.0000, 0.0000], [0.0000, 5.3040, 0.0000], [0.0000, 0.0000, 5.3040]],
  "species": ["Cu", "Ni", "I", "I", "I"],
  "fractional_positions": [[0.0000, 0.0000, 0.0000], [0.5000, 0.5000, 0.5000], [0.0000, 0.5000, 0.5000], [0.5000, 0.0000, 0.5000], [0.5000, 0.5000, 0.0000]],
  "dft_energy_ev_per_atom": -2.43,
  "m_tot_mub_per_cell": 0.000,
  "e_above_lowest_polymorph_mev_per_atom": 535
}